No. 1
DFT (PBE) results for a relaxed structure of ErSnF.

Structure (POSCAR):
```
ErSnF
1.0
3.819 0.000 0.000
-1.910 3.308 0.000
0.000 0.000 5.207
Er Sn F
1 1 1
Direct
0.000 0.000 0.000
0.667 0.333 0.500
0.333 0.667 0.000
```

E: -5.381 eV per atom
Density: 7.70 g/cm3
Energy relative to the elements, uncorrected: -1902 meV/atom
Polymorph energy (0 for the lowest one): 0.51 kcal/mol of atoms
SG: P-6m2, No. 187

=====

No. 2
DFT (PBE) results for a relaxed structure of ErSnF.

Structure (POSCAR):
```
ErSnF
1.0
5.216 3.012 4.064
-5.216 3.012 4.064
0.000 -6.023 4.064
Er Sn F
6 6 6
Direct
0.187 0.327 0.671
0.327 0.671 0.187
0.329 0.813 0.673
0.671 0.187 0.327
0.673 0.329 0.813
0.813 0.673 0.329
0.007 0.332 0.104
0.104 0.007 0.332
0.332 0.104 0.007
0.668 0.896 0.993
0.896 0.993 0.668
0.993 0.668 0.896
0.230 0.564 0.476
0.436 0.524 0.770
0.476 0.230 0.564
0.524 0.770 0.436
0.564 0.476 0.230
0.770 0.436 0.524
```

E: -5.403 eV per atom
Density: 7.93 g/cm3
Energy relative to the elements, uncorrected: -1924 meV/atom
Polymorph energy (0 for the lowest one): 0.00 kcal/mol of atoms
SG: R-3, No. 148

=====

No. 3
DFT (PBE) results for a relaxed structure of SrErF6.

Structure (POSCAR):
```
SrErF6
1.0
3.966 0.000 0.000
0.000 3.683 4.111
0.000 -3.683 4.111
Sr Er F
1 1 6
Direct
0.000 0.000 0.000
0.500 0.553 0.553
0.000 0.221 0.486
0.000 0.486 0.221
0.000 0.648 0.648
0.500 0.285 0.870
0.500 0.817 0.817
0.500 0.870 0.285
```

E: -5.598 eV per atom
Density: 5.10 g/cm3
Energy relative to the elements, uncorrected: -3414 meV/atom
SG: Amm2, No. 38

=====

No. 4
DFT (PBE) results for a relaxed structure of SrErF4.

Structure (POSCAR):
```
SrErF4
1.0
-3.811 3.811 3.966
3.811 -3.811 3.966
3.811 3.811 -3.966
Sr Er F
2 2 8
Direct
0.000 0.000 0.000
0.750 0.250 0.500
0.238 0.738 0.500
0.488 0.488 0.000
0.028 0.347 0.318
0.028 0.710 0.682
0.097 0.278 0.818
0.436 0.143 0.707
0.436 0.729 0.293
0.460 0.278 0.182
0.479 0.686 0.793
0.893 0.686 0.207
```

E: -5.869 eV per atom
Density: 4.77 g/cm3
Energy relative to the elements, uncorrected: -3581 meV/atom
SG: I4_1md, No. 109

=====

No. 5
DFT (PBE) results for a relaxed structure of SrErTlF6.

Structure (POSCAR):
```
SrErTlF6
1.0
-3.973 4.031 5.591
3.973 -4.031 5.591
3.973 4.031 -5.591
Sr Er Tl F
2 2 2 12
Direct
0.500 0.000 0.000
0.500 0.500 0.500
0.000 0.000 0.000
0.500 0.000 0.500
0.129 0.379 0.750
0.871 0.621 0.250
0.108 0.325 0.171
0.108 0.937 0.783
0.325 0.075 0.250
0.345 0.063 0.671
0.345 0.675 0.283
0.380 0.630 0.750
0.620 0.370 0.250
0.655 0.325 0.717
0.655 0.937 0.329
0.675 0.925 0.750
0.892 0.063 0.217
0.892 0.675 0.829
```

E: -5.677 eV per atom
Density: 5.32 g/cm3
Energy relative to the elements, uncorrected: -3473 meV/atom
SG: Imma, No. 74

=====

No. 6
DFT (PBE) results for a relaxed structure of TbEr2F8.

Structure (POSCAR):
```
TbEr2F8
1.0
3.462 -5.094 0.000
3.462 5.094 0.000
-1.414 0.000 4.034
Tb Er F
1 2 8
Direct
0.000 0.000 0.000
0.318 0.682 0.500
0.682 0.318 0.500
0.057 0.314 0.527
0.248 0.752 0.000
0.314 0.057 0.527
0.374 0.374 0.191
0.626 0.626 0.809
0.686 0.943 0.473
0.752 0.248 0.000
0.943 0.686 0.473
```

E: -6.422 eV per atom
Density: 7.53 g/cm3
Energy relative to the elements, uncorrected: -3811 meV/atom
SG: C2/m, No. 12

=====

No. 7
DFT (PBE) results for a relaxed structure of TbEr2F11.

Structure (POSCAR):
```
TbEr2F11
1.0
-4.147 5.080 5.561
4.147 -5.080 5.561
4.147 5.080 -5.561
Tb Er F
2 4 22
Direct
0.250 0.250 0.000
0.750 0.750 0.000
0.189 0.658 0.847
0.311 0.158 0.469
0.689 0.842 0.531
0.811 0.342 0.153
0.000 0.500 0.500
0.030 0.961 0.275
0.057 0.341 0.132
0.186 0.461 0.931
0.196 0.390 0.586
0.209 0.925 0.868
0.291 0.159 0.715
0.304 0.890 0.194
0.314 0.246 0.275
0.443 0.575 0.285
0.470 0.746 0.931
0.500 0.000 0.500
0.530 0.254 0.069
0.557 0.425 0.715
0.686 0.754 0.725
0.696 0.110 0.806
0.709 0.841 0.285
0.791 0.075 0.132
0.804 0.610 0.414
0.814 0.539 0.069
0.943 0.659 0.868
0.970 0.039 0.725
```

E: -5.921 eV per atom
Density: 4.98 g/cm3
Energy relative to the elements, uncorrected: -3469 meV/atom
SG: Ibam, No. 72

=====

No. 8
DFT (PBE) results for a relaxed structure of Tb3ErF.

Structure (POSCAR):
```
Tb3ErF
1.0
5.035 0.000 0.000
0.000 5.035 0.000
0.000 0.000 5.035
Tb Er F
3 1 1
Direct
0.000 0.000 0.500
0.000 0.500 0.000
0.500 0.000 0.000
0.500 0.500 0.500
0.000 0.000 0.000
```

E: -5.001 eV per atom
Density: 8.62 g/cm3
Energy relative to the elements, uncorrected: -936 meV/atom
SG: Pm-3m, No. 221